Density functional theory data (PBE) for an optimized crystal structure of TlRe3Sn5.

abc: 5.435 5.435 8.491
angles: 90.00 90.00 120.00
Fractional coordinates of all 9 atoms:
Sn1 0.333 0.667 0.210
Sn2 0.667 0.333 0.790
Sn3 0.000 0.000 0.500
Sn4 0.667 0.333 0.210
Sn5 0.333 0.667 0.790
Re1 0.500 0.500 0.500
Re2 0.500 0.000 0.500
Re3 0.000 0.500 0.500
Tl1 0.000 0.000 0.000

Output
Size of the total moment (μB/f.u.): 0.1
Energy (eV/f.u.): -56.99